[1]
Pm4Dy8Mg, relaxed, DFT GGA-PBE; ρ = 7.4 g/cm³; final energy = -4.23 eV/atom; M_tot = 0.00 μB per formula unit; space-group type = R-3m
1.0
3.638 2.101 9.307
-3.638 2.101 9.307
0.000 -4.201 9.307
Pm Dy Mg
4 8 1
Direct
0.000 0.000 0.000 Pm
0.000 0.500 0.500 Pm
0.500 0.000 0.500 Pm
0.500 0.500 0.000 Pm
0.208 0.746 0.746 Dy
0.213 0.213 0.213 Dy
0.254 0.254 0.792 Dy
0.254 0.792 0.254 Dy
0.746 0.208 0.746 Dy
0.746 0.746 0.208 Dy
0.787 0.787 0.787 Dy
0.792 0.254 0.254 Dy
0.500 0.500 0.500 Mg

=====

[2]
Tb3Sm2Y8, relaxed, DFT GGA-PBE; ρ = 5.7 g/cm³; final energy = -5.63 eV/atom; M_tot = 0.00 μB per formula unit; E above lowest polymorph = 0.0 meV per atom; space-group type = Pbam
1.0
11.774 0.000 0.000
0.000 20.739 0.000
0.000 0.000 3.523
Tb Sm Y
6 4 16
Direct
0.000 0.000 0.000 Tb
0.146 0.299 0.000 Tb
0.354 0.799 0.000 Tb
0.500 0.500 0.000 Tb
0.646 0.201 0.000 Tb
0.854 0.701 0.000 Tb
0.179 0.902 0.500 Sm
0.321 0.402 0.500 Sm
0.679 0.598 0.500 Sm
0.821 0.098 0.500 Sm
0.045 0.428 0.500 Y
0.055 0.158 0.000 Y
0.129 0.714 0.500 Y
0.208 0.552 0.000 Y
0.292 0.052 0.000 Y
0.371 0.214 0.500 Y
0.445 0.658 0.000 Y
0.455 0.928 0.500 Y
0.545 0.072 0.500 Y
0.555 0.342 0.000 Y
0.629 0.786 0.500 Y
0.708 0.948 0.000 Y
0.792 0.448 0.000 Y
0.871 0.286 0.500 Y
0.945 0.842 0.000 Y
0.955 0.572 0.500 Y

=====

[3]
TcTe3, relaxed, DFT GGA-PBE; ρ = 8.4 g/cm³; final energy = -4.01 eV/atom; M_tot = 0.77 μB per formula unit; E above lowest polymorph = 903.8 meV per atom; space-group type = Pm-3m
1.0
4.557 0.000 0.000
0.000 4.557 0.000
0.000 0.000 4.557
Tc Te
1 3
Direct
0.000 0.000 0.000 Tc
0.000 0.500 0.500 Te
0.500 0.000 0.500 Te
0.500 0.500 0.000 Te

=====

[4]
RbCd2Sb, relaxed, DFT GGA-PBE; ρ = 4.6 g/cm³; final energy = -1.74 eV/atom; M_tot = 0.00 μB per formula unit; space-group type = I-42d
1.0
9.307 0.000 0.000
0.000 9.307 0.000
0.000 0.000 7.180
Rb Cd Sb
4 8 4
Direct
0.000 0.000 0.000 Rb
0.000 0.500 0.250 Rb
0.500 0.000 0.750 Rb
0.500 0.500 0.500 Rb
0.164 0.750 0.625 Cd
0.250 0.164 0.375 Cd
0.250 0.336 0.875 Cd
0.336 0.750 0.125 Cd
0.664 0.250 0.125 Cd
0.750 0.664 0.875 Cd
0.750 0.836 0.375 Cd
0.836 0.250 0.625 Cd
0.000 0.000 0.500 Sb
0.000 0.500 0.750 Sb
0.500 0.000 0.250 Sb
0.500 0.500 0.000 Sb

=====

[5]
RbMnAsPd2, relaxed, DFT GGA-PBE; ρ = 6.2 g/cm³; final energy = -3.79 eV/atom; M_tot = 0.00 μB per formula unit; space-group type = P4/mmm
1.0
4.687 0.000 0.000
0.000 4.687 0.000
0.000 0.000 5.197
Rb Mn As Pd
1 1 1 2
Direct
0.000 0.000 0.000 Rb
0.000 0.000 0.500 Mn
0.500 0.500 0.000 As
0.000 0.500 0.500 Pd
0.500 0.000 0.500 Pd

=====

[6]
NdTm2Au, relaxed, DFT GGA-PBE; ρ = 9.5 g/cm³; final energy = -4.55 eV/atom; M_tot = 0.00 μB per formula unit; E above lowest polymorph = 119.1 meV per atom; space-group type = R3m
1.0
3.738 0.000 0.000
-1.869 3.237 0.000
0.000 0.000 29.357
Nd Tm Au
3 6 3
Direct
0.000 0.000 0.000 Nd
0.333 0.667 0.667 Nd
0.667 0.333 0.333 Nd
0.000 0.000 0.565 Tm
0.000 0.000 0.765 Tm
0.333 0.667 0.232 Tm
0.333 0.667 0.431 Tm
0.667 0.333 0.098 Tm
0.667 0.333 0.899 Tm
0.000 0.000 0.164 Au
0.333 0.667 0.831 Au
0.667 0.333 0.498 Au

=====

[7]
Nd3Hf, relaxed, DFT GGA-PBE; ρ = 7.9 g/cm³; final energy = -5.74 eV/atom; M_tot = 0.00 μB per formula unit; E above lowest polymorph = 132.9 meV per atom; space-group type = Pmm2
1.0
3.385 0.000 0.000
0.000 3.401 0.000
0.000 0.000 11.210
Nd Hf
3 1
Direct
0.000 0.000 0.000 Nd
0.000 0.500 0.457 Nd
0.500 0.500 0.751 Nd
0.500 0.000 0.252 Hf

=====

[8]
ZrTiCuPd, relaxed, DFT GGA-PBE; ρ = 7.5 g/cm³; final energy = -6.70 eV/atom; M_tot = 1.25 μB per formula unit; E above lowest polymorph = 95.8 meV per atom; space-group type = F-43m
1.0
6.484 0.000 0.000
0.000 6.484 0.000
0.000 0.000 6.484
Zr Ti Cu Pd
4 4 4 4
Direct
0.000 0.000 0.000 Zr
0.000 0.500 0.500 Zr
0.500 0.000 0.500 Zr
0.500 0.500 0.000 Zr
0.000 0.000 0.500 Ti
0.000 0.500 0.000 Ti
0.500 0.000 0.000 Ti
0.500 0.500 0.500 Ti
0.250 0.250 0.250 Cu
0.250 0.750 0.750 Cu
0.750 0.250 0.750 Cu
0.750 0.750 0.250 Cu
0.250 0.250 0.750 Pd
0.250 0.750 0.250 Pd
0.750 0.250 0.250 Pd
0.750 0.750 0.750 Pd